This record from Alexandria describes In2GaTe after structural relaxation. The functional is PBE.

POSCAR file:
```
In2GaTe
1.0
-3.8898 -0.1599 1.2958
-1.7871 -3.6296 0.6837
0.5659 -1.0791 8.0616
In Ga Te
2 1 1
direct
0.0856 0.0856 0.7431
0.2471 0.2471 0.2588
0.4997 0.4997 0.5009
0.6676 0.6676 0.9971
```

Density: 6.2 g/cm3
Total magnetic moment: 0.0 Bohr magnetons per cell
Space group: R3m, No. 160

This record from Alexandria describes InGa2Te after structural relaxation. The functional is PBE.

POSCAR file:
```
InGa2Te
1.0
4.0056 0.0000 0.0000
2.0028 3.4689 0.0000
2.0028 1.1563 7.5273
In Ga Te
1 2 1
direct
0.4987 0.4987 0.5038
0.0801 0.0801 0.7596
0.2531 0.2531 0.2408
0.6681 0.6681 0.9957
```

Density: 6.1 g/cm3
Total magnetic moment: 0.0 Bohr magnetons per cell
Space group: R3m, No. 160

The calculation returns the following VASP energy values, one per record and in order: -2.953 -3.011 eV per atom.
The calculation returns the following E_form (uncorrected) values, one per record and in order: -0.0415 -0.0278 eV/atom.